1.
First-principles (PBE) data for crystalline UCu4Sb at its relaxed geometry, as listed in Alexandria.

The structure belongs to space group F-43m (No. 216); the cell edges are 7.3549, 7.3549 and 7.3549 Å and the angles 90.00°, 90.00° and 90.00°. The distinct sites, in fractional coordinates, are U at (0.0000, 0.0000, 0.0000), Cu at (0.1257, 0.1257, 0.6257) and Sb at (0.2500, 0.2500, 0.2500).

The uncorrected formation energy comes out at 0.73 eV/f.u. For the raw total energy, the calculation gives -124.25 eV per cell.

2.
First-principles (PBE) data for crystalline U3Cu3Sb4 at its relaxed geometry, as listed in Alexandria.

The structure belongs to space group I-43d (No. 220); the cell edges are 9.5999, 9.5999 and 9.5999 Å and the angles 90.00°, 90.00° and 90.00°. The distinct sites, in fractional coordinates, are U at (0.0000, 0.2500, 0.8750), Cu at (0.0000, 0.2500, 0.3750) and Sb at (0.0840, 0.4160, 0.5840).

The uncorrected formation energy comes out at -1.64 eV/f.u. For the raw total energy, the calculation gives -257.12 eV per cell.

3.
First-principles (PBE) data for crystalline UCuSb2 at its relaxed geometry, as listed in Alexandria.

The structure belongs to space group R-3m (No. 166, hexagonal axes); the cell edges are 3.2281, 3.2281 and 31.0958 Å and the angles 90.00°, 90.00° and 120.00°. The distinct sites, in fractional coordinates, are U at (0.0000, 0.0000, 0.0000), Cu at (0.0000, 0.0000, 0.5000) and Sb at (0.0000, 0.0000, 0.1011).

The uncorrected formation energy comes out at 1.48 eV/f.u. For the raw total energy, the calculation gives -66.44 eV per cell.

4.
First-principles (PBE) data for crystalline U3Cu5Sb12 at its relaxed geometry, as listed in Alexandria.

The structure belongs to space group Ia-3d (No. 230); the cell edges are 16.3536, 16.3536 and 16.3536 Å and the angles 90.00°, 90.00° and 90.00°. The distinct sites, in fractional coordinates, are U at (0.0000, 0.2500, 0.1250), Cu at (0.0000, 0.0000, 0.0000), Cu at (0.0000, 0.2500, 0.3750) and Sb at (0.0252, 0.0645, 0.6471).

The uncorrected formation energy comes out at 3.75 eV/f.u. For the raw total energy, the calculation gives -800.49 eV per cell.

5.
First-principles (PBE) data for crystalline UCuSb2 at its relaxed geometry, as listed in Alexandria.

The structure belongs to space group P4/mmm (No. 123); the cell edges are 4.6893, 4.6893 and 4.0096 Å and the angles 90.00°, 90.00° and 90.00°. The distinct sites, in fractional coordinates, are U at (0.0000, 0.0000, 0.0000), Cu at (0.5000, 0.5000, 0.0000) and Sb at (0.0000, 0.5000, 0.5000).

The uncorrected formation energy comes out at -0.52 eV/f.u. For the raw total energy, the calculation gives -24.15 eV per cell.

6.
First-principles (PBE) data for crystalline VCuSb3 at its relaxed geometry, as listed in Alexandria.

The structure belongs to space group Pm-3m (No. 221); the cell edges are 5.0544, 5.0544 and 5.0544 Å and the angles 90.00°, 90.00° and 90.00°. The distinct sites, in fractional coordinates, are V at (0.0000, 0.0000, 0.0000), Cu at (0.5000, 0.5000, 0.5000) and Sb at (0.0000, 0.5000, 0.5000).

The uncorrected formation energy comes out at 3.76 eV/f.u. For the raw total energy, the calculation gives -21.82 eV per cell.